1.
La3Ag2Os | PBE | relaxed

Cell: 5.2442 8.1397 7.7539 Å, 90.00 90.00 71.21°
With the nearest neighbours (Å) after each atom.
Positions (direct):
La (0.8239, 0.3522, 0.7762)  3 Os 3.06-3.15, 4 Ag 3.22-3.39
La (0.5000, 0.0000, 0.2284)  2 Os 3.04, 6 Ag 3.16-3.36
La (0.1761, 0.6478, 0.2238)  3 Os 3.06-3.15, 4 Ag 3.22-3.39
La (0.8239, 0.3522, 0.2238)  3 Os 3.06-3.15, 4 Ag 3.22-3.39
La (0.1761, 0.6478, 0.7762)  3 Os 3.06-3.15, 4 Ag 3.22-3.39
La (0.5000, 0.0000, 0.7716)  2 Os 3.04, 6 Ag 3.16-3.36
Ag (0.0000, 0.0000, 0.0000)  8 La 3.16-3.22
Ag (0.0000, 0.0000, 0.5000)  8 La 3.36-3.46, 4 Ag 3.63
Ag (0.3374, 0.3252, 0.5000)  8 La 3.27-3.39, 2 Ag 3.63
Ag (0.6626, 0.6748, 0.5000)  8 La 3.27-3.39, 2 Ag 3.63
Os (0.3398, 0.3205, 0.0000)  8 La 3.04-3.15
Os (0.6602, 0.6795, 0.0000)  8 La 3.04-3.15

## Properties
**Formation enthalpy at 0 K**: -0.20 eV/atom
**Crystal system**: orthorhombic
**V**: 313.3 Å³ per cell

=====

2.
Ce8Os3Pb2 | PBE | relaxed

Cell: 8.2221 6.7036 7.9401 Å, 114.97 109.64 90.00°
With the nearest neighbours (Å) after each atom.
Positions (direct):
Ce (0.0185, 0.6248, 0.2496)  2 Os 2.69
Ce (0.9815, 0.3752, 0.7504)  2 Os 2.69
Ce (0.8298, 0.1405, 0.2810)  1 Os 2.72
Ce (0.1702, 0.8595, 0.7190)  1 Os 2.72
Ce (0.6271, 0.6254, 0.8004)  2 Os 2.77-2.91, 1 Ce 3.02
Ce (0.6271, 0.1750, 0.8004)  2 Os 2.77-2.91, 1 Ce 3.02
Ce (0.3729, 0.8250, 0.1996)  2 Os 2.77-2.91, 1 Ce 3.02
Ce (0.3729, 0.3746, 0.1996)  2 Os 2.77-2.91, 1 Ce 3.02
Os (0.5000, 0.0000, 0.0000)  6 Ce 2.72-2.77
Os (0.0000, 0.1941, 0.0000)  1 Os 2.60, 4 Ce 2.69-2.91
Os (0.0000, 0.8059, 0.0000)  1 Os 2.60, 4 Ce 2.69-2.91
Pb (0.2552, 0.2625, 0.5249)  6 Ce 3.23-3.39
Pb (0.7448, 0.7375, 0.4751)  6 Ce 3.23-3.39

## Properties
**Formation enthalpy at 0 K**: -0.07 eV/atom
**Crystal system**: monoclinic
**V**: 368.4 Å³ per cell

=====

3.
LiPSe2 | PBE | relaxed

Cell: 5.0108 2.9761 5.5624 Å, 74.43 90.00 90.00°
With the nearest neighbours (Å) after each atom.
Positions (direct):
Li (0.0000, 0.6078, 0.4024)  7 Se 2.76-3.00, 2 Li 2.98
P (0.5000, 0.9059, 0.8149)  1 Se 2.25
Se (0.0000, 0.8710, 0.8869)  2 P 2.53, 1 Li 2.76
Se (0.5000, 0.1153, 0.3958)  1 P 2.25

## Properties
**Raw formation energy**: -0.319 eV per atom
**Crystal system**: monoclinic
**V**: 79.9 Å³ per cell

=====

4.
NpGaNiPt | PBE | relaxed

Cell: 4.5872 4.5872 4.5872 Å, 60.00 60.00 60.00°
With the nearest neighbours (Å) after each atom.
Positions (direct):
Np (0.2500, 0.2500, 0.2500)  4 Ga 2.81, 4 Ni 2.81
Ni (0.5000, 0.5000, 0.5000)  4 Np 2.81, 4 Pt 2.81
Ga (0.0000, 0.0000, 0.0000)  4 Pt 2.81, 4 Np 2.81
Pt (0.7500, 0.7500, 0.7500)  4 Ni 2.81, 4 Ga 2.81

## Properties
**Formation enthalpy at 0 K**: -0.13 eV/atom
**Crystal system**: cubic
**V**: 68.3 Å³ per cell